# 1
The following is a GGA-PBE calculation of a relaxed MgBiBr2 crystal, from Alexandria.

```
MgBiBr2
1.0
-0.307 8.239 -0.907
-4.642 -0.923 -6.812
-5.285 3.762 -1.959
Bi Mg Br
2 2 4
Cartesian
0.000 0.000 0.000
-4.033 7.830 -3.363
-2.475 3.658 -3.860
-6.200 3.249 -6.315
-7.959 9.290 -7.732
-4.283 1.988 -4.926
-6.155 5.499 -4.856
-2.071 5.380 -1.843
```

Excess energy over the best structure of this formula in the dataset   0.461 eV per atom
Total magnetic moment   0.0 μB/cell
Formation energy from raw total energies   -9.1 kcal/mol of atoms



# 2
The following is a GGA-PBE calculation of a relaxed KIrW2 crystal, from Alexandria.

```
KIrW2
1.0
-2.517 -0.155 -1.110
0.486 -1.748 2.073
-3.594 7.434 7.110
K W Ir
1 2 1
Cartesian
-3.711 4.624 5.814
-1.653 3.419 3.270
-0.144 0.298 0.285
-1.914 0.907 2.259
```

Excess energy over the best structure of this formula in the dataset   0.243 eV per atom
Total magnetic moment   0.0 μB/cell



# 3
The following is a GGA-PBE calculation of a relaxed Pd4SI5 crystal, from Alexandria.

```
Pd4SI5
1.0
-1.161 -0.825 3.704
-6.306 -3.393 -2.731
6.390 -6.107 -1.483
Pd I S
4 5 1
Cartesian
0.313 -9.554 0.097
-1.805 -7.523 -2.240
0.727 -2.802 1.730
-1.390 -0.770 -0.607
-0.200 -3.262 -0.789
2.351 -5.371 1.667
-3.733 -2.109 0.487
-3.428 -4.953 -2.177
-0.878 -7.062 0.279
-0.580 -0.412 1.852
```

Total magnetic moment   0.0 μB/cell
Formation energy from raw total energies   -1.8 kcal/mol of atoms



# 4
The following is a GGA-PBE calculation of a relaxed MoPb2Br crystal, from Alexandria.

```
MoPb2Br
1.0
8.101 -0.007 -0.016
-3.686 4.215 0.020
0.729 1.221 2.977
Br Pb Mo
1 2 1
Cartesian
-1.479 2.718 1.499
0.000 0.000 0.000
4.415 0.607 1.480
2.207 2.104 0.002
```

Excess energy over the best structure of this formula in the dataset   0.259 eV per atom
Total magnetic moment   2.2 μB/cell
Formation energy from raw total energies   11.7 kcal/mol of atoms



no.,DOS(E_F) (states/eV per cell)
1,6.6
2,3.7
3,7.5
4,2.5